This record from Alexandria describes a geometry-optimized AlWCl3 structure. The functional is GGA-PBE.

abc: 4.884 4.884 4.884
angles: 90.00 90.00 90.00
Space group Pm-3m (No. 221)
Unique sites:
Al (0.000, 0.000, 0.000) x1
W (0.500, 0.500, 0.500) x1
Cl (0.000, 0.000, 0.500) x3

Output
* excess energy over the best structure of this formula in the dataset: 2.108 eV per formula unit
* density of states at the Fermi level: 1.370 states/eV/atom
* uncorrected formation energy: 0.58 eV per atom